V4PC: optimized geometry, PBE-GGA.

Lattice parameters (Å, degrees): 5.6580 5.1393 5.2664 90.00 102.26 90.00
Fractional positions:
V: 0.1970 0.8391 0.6010
P: 0.0000 0.0000 0.0000
V: 0.3030 0.3391 0.3990
V: 0.3827 0.8715 0.1490
V: 0.6173 0.1285 0.8510
V: 0.1173 0.3715 0.8510
V: 0.8030 0.1609 0.3990
C: 0.0000 0.5000 0.5000
V: 0.6970 0.6609 0.6010
P: 0.5000 0.5000 0.0000
C: 0.5000 0.0000 0.5000
V: 0.8827 0.6285 0.1490

Results
E_tot: -8.88 eV per atom
formation energy: -0.37 eV/atom

Ce3Tl3VSe8: optimized geometry, PBE-GGA.

Lattice parameters (Å, degrees): 8.2815 8.2817 9.1937 116.77 90.00 120.00
Fractional positions:
Ce: 0.5000 0.5000 0.5000
Ce: 0.5000 0.0000 0.5000
Se: 0.2183 0.9750 0.6933
Se: 0.2433 0.0250 0.3067
Se: 0.7817 0.5633 0.3067
Se: 0.7375 0.4751 0.7126
Tl: 0.5000 0.5000 0.0000
Ce: 0.0000 0.5000 0.5000
Se: 0.2625 0.5249 0.2874
Se: 0.7567 0.9750 0.6933
Tl: 0.0000 0.0000 0.0000
Se: 0.2183 0.4367 0.6933
Tl: 0.0000 0.5000 0.0000
V: 0.0000 0.0000 0.5000
Se: 0.7817 0.0250 0.3067

Results
E_tot: -5.30 eV per atom
energy relative to the elements, uncorrected: -1.17 eV/atom

Sm5PS5: optimized geometry, PBE-GGA.

Lattice parameters (Å, degrees): 5.6824 8.0576 6.9825 106.81 114.01 90.00
Fractional positions:
Sm: 0.1642 0.3343 0.3283
Sm: 0.1593 0.8261 0.3186
P: 0.0000 0.0000 0.0000
S: 0.6718 0.8409 0.3436
S: 0.3282 0.1591 0.6564
Sm: 0.8358 0.6657 0.6717
S: 0.6698 0.3315 0.3397
S: 0.0000 0.5000 0.0000
Sm: 0.5000 0.0000 0.0000
Sm: 0.8407 0.1739 0.6814
S: 0.3302 0.6685 0.6603

Results
E_tot: -6.51 eV per atom
energy relative to the elements, uncorrected: -1.99 eV/atom

TcSnSb2Te: optimized geometry, PBE-GGA.

Lattice parameters (Å, degrees): 5.6040 5.6040 5.6335 90.00 90.00 90.00
Fractional positions:
Sn: 0.0000 0.0000 0.0000
Sb: 0.0000 0.5000 0.0000
Sb: 0.5000 0.0000 0.0000
Te: 0.0000 0.0000 0.5000
Tc: 0.5000 0.5000 0.5000

Results
E_tot: -3.72 eV per atom
energy above the most stable polymorph in this dataset: 992 meV per atom
energy relative to the elements, uncorrected: 1.43 eV/atom

Os2RhCl: optimized geometry, PBE-GGA.

Lattice parameters (Å, degrees): 8.8173 8.8173 8.8173 18.25 18.25 18.25
Fractional positions:
Os: 0.5006 0.5006 0.5006
Rh: 0.2500 0.2500 0.2500
Os: 0.9994 0.9994 0.9994
Cl: 0.7500 0.7500 0.7500

Results
E_tot: -7.23 eV per atom
energy above the most stable polymorph in this dataset: 253 meV per atom
energy relative to the elements, uncorrected: 0.69 eV/atom

CeUPbO6: optimized geometry, PBE-GGA.

Lattice parameters (Å, degrees): 6.0091 6.0091 9.9324 90.00 90.00 120.00
Fractional positions:
U: 0.3333 0.6667 0.7500
O: 0.9793 0.6219 0.3563
O: 0.3781 0.0207 0.1437
O: 0.3781 0.3574 0.3563
O: 0.6426 0.0207 0.3563
O: 0.6219 0.9793 0.8563
O: 0.0207 0.3781 0.6437
O: 0.9793 0.3574 0.1437
Ce: 0.3333 0.6667 0.2500
O: 0.3574 0.3781 0.8563
Pb: 0.0000 0.0000 0.5000
O: 0.6426 0.6219 0.1437
U: 0.6667 0.3333 0.2500
Pb: 0.0000 0.0000 0.0000
Ce: 0.6667 0.3333 0.7500
O: 0.6219 0.6426 0.6437
O: 0.0207 0.6426 0.8563
O: 0.3574 0.9793 0.6437

Results
E_tot: -8.37 eV per atom
energy relative to the elements, uncorrected: -2.74 eV/atom